{
  "formula": "Ac4Al3CoO12",
  "functional": "GGA+U",
  "state": "optimized geometry",
  "e_tot_ev_per_atom": -7.61,
  "m_tot_mub_per_atom": 0.00,
  "space_group": "No. 229",
  "lattice_angstrom": [[-3.8846, 3.8846, 3.8846], [3.8846, -3.8846, 3.8846], [3.8846, 3.8846, -3.8846]],
  "species": ["Ac", "Ac", "Ac", "Ac", "Al", "Al", "Al", "Co", "O", "O", "O", "O", "O", "O", "O", "O", "O", "O", "O", "O"],
  "frac_coords": [[0.0000, 0.0000, 0.5000], [0.0000, 0.5000, 0.0000], [0.5000, 0.0000, 0.0000], [0.5000, 0.5000, 0.5000], [0.0000, 0.5000, 0.5000], [0.5000, 0.0000, 0.5000], [0.5000, 0.5000, 0.0000], [0.0000, 0.0000, 0.0000], [0.0000, 0.2516, 0.2516], [0.0000, 0.7484, 0.7484], [0.2500, 0.5000, 0.7500], [0.2500, 0.7500, 0.5000], [0.2516, 0.0000, 0.2516], [0.2516, 0.2516, 0.0000], [0.5000, 0.2500, 0.7500], [0.5000, 0.7500, 0.2500], [0.7484, 0.0000, 0.7484], [0.7484, 0.7484, 0.0000], [0.7500, 0.2500, 0.5000], [0.7500, 0.5000, 0.2500]]
}